First-principles (PBE-GGA) data for a relaxed structure of TbCdAs2, as listed in Alexandria via LeMat-Bulk.

Values from the calculation:
Energy of formation from the pure elements (eV per atom): -0.570
Space group: R-3m, No. 166

The structure in POSCAR format:
```
TbCdAs2
1.0
2.112 1.219 6.291
-2.112 1.219 6.291
0.000 -2.439 6.291
Tb Cd As
1 1 2
direct
0.000 0.000 0.000
0.500 0.500 0.500
0.249 0.249 0.249
0.751 0.751 0.751
```


First-principles (PBE-GGA) data for a relaxed structure of Dy8Bi2Ir, as listed in Alexandria via LeMat-Bulk.

Values from the calculation:
Energy of formation from the pure elements (eV per atom): -0.445
Space group: C2/m, No. 12

The structure in POSCAR format:
```
Dy8Bi2Ir
1.0
9.606 -2.334 0.000
9.606 2.334 0.000
-0.927 0.000 7.231
Dy Bi Ir
8 2 1
direct
0.000 0.000 0.226
0.000 0.000 0.774
0.215 0.215 0.350
0.361 0.361 0.957
0.405 0.405 0.486
0.595 0.595 0.514
0.639 0.639 0.043
0.785 0.785 0.650
0.183 0.183 0.782
0.817 0.817 0.218
0.500 0.500 0.000
```


First-principles (PBE-GGA) data for a relaxed structure of AlZnNiAg, as listed in Alexandria via LeMat-Bulk.

Values from the calculation:
Energy of formation from the pure elements (eV per atom): -0.168
Space group: F-43m, No. 216

The structure in POSCAR format:
```
AlZnNiAg
1.0
0.000 3.052 3.052
3.052 0.000 3.052
3.052 3.052 0.000
Al Zn Ni Ag
1 1 1 1
direct
0.000 0.000 0.000
0.500 0.500 0.500
0.750 0.750 0.750
0.250 0.250 0.250
```


Question: Look up the energy of formation from the pure elements of the first one.
Answer: -0.570 eV per atom


Question: The highest energy of formation from the pure elements belongs to which entry?
Answer: AlZnNiAg


Copy entry 1 word for word.
First-principles (PBE-GGA) data for a relaxed structure of TbCdAs2, as listed in Alexandria via LeMat-Bulk.

Values from the calculation:
Energy of formation from the pure elements (eV per atom): -0.570
Space group: R-3m, No. 166

The structure in POSCAR format:
```
TbCdAs2
1.0
2.112 1.219 6.291
-2.112 1.219 6.291
0.000 -2.439 6.291
Tb Cd As
1 1 2
direct
0.000 0.000 0.000
0.500 0.500 0.500
0.249 0.249 0.249
0.751 0.751 0.751
```


Question: Number 3 is which compound?
Answer: AlZnNiAg